[1]
Density functional theory data (PBE) for a relaxed RbErSiSe4 crystal.

Lattice parameters (Å, degrees): 6.647 7.008 9.438 90.00 108.22 90.00
Fractional positions:
Rb: 0.246 0.250 0.440
Rb: 0.754 0.750 0.560
Er: 0.273 0.250 0.951
Er: 0.727 0.750 0.049
Si: 0.278 0.750 0.164
Si: 0.722 0.250 0.836
Se: 0.066 0.750 0.924
Se: 0.080 0.750 0.321
Se: 0.490 0.503 0.798
Se: 0.490 0.997 0.798
Se: 0.510 0.003 0.202
Se: 0.510 0.497 0.202
Se: 0.920 0.250 0.679
Se: 0.934 0.250 0.076

**Formation energy from raw total energies**: -1214 meV per atom
**Symmetry**: P2_1/m, No. 11

=====

[2]
Density functional theory data (PBE) for a relaxed Tb2InC crystal.

Lattice parameters (Å, degrees): 8.466 8.466 8.466 24.70 24.70 24.70
Fractional positions:
Tb: 0.222 0.222 0.222
Tb: 0.778 0.778 0.778
In: 0.000 0.000 0.000
C: 0.500 0.500 0.500

**Energy relative to the elements**: -1.47 eV per formula unit
**Symmetry**: R-3m, No. 166

=====

[3]
Density functional theory data (PBE) for a relaxed Tb3Sm6Cd crystal.

Lattice parameters (Å, degrees): 11.361 11.361 6.374 90.00 90.00 128.77
Fractional positions:
Tb: 0.086 0.914 0.500
Tb: 0.204 0.457 0.098
Tb: 0.457 0.204 0.598
Tb: 0.543 0.796 0.098
Tb: 0.796 0.543 0.598
Tb: 0.914 0.086 0.000
Sm: 0.034 0.600 0.242
Sm: 0.127 0.240 0.525
Sm: 0.214 0.786 0.798
Sm: 0.240 0.127 0.025
Sm: 0.400 0.966 0.242
Sm: 0.479 0.521 0.758
Sm: 0.521 0.479 0.258
Sm: 0.600 0.034 0.742
Sm: 0.760 0.873 0.525
Sm: 0.786 0.214 0.298
Sm: 0.873 0.760 0.025
Sm: 0.966 0.400 0.742
Cd: 0.345 0.655 0.525
Cd: 0.655 0.345 0.025

**Energy relative to the elements**: 0.47 eV per formula unit
**Symmetry**: Cmc2_1, No. 36
**ΔE to the lowest computed polymorph**: 66.6 meV/atom

=====

Volume? In order: 29.83, 23.29, 32.07 Å³ per atom.